Here is a relaxed Se2F crystal from the Alexandria database. Energies are from PBE.

Cell and atoms, written as POSCAR:
```
Se2F
1.0
5.0394 0.0000 0.0000
-1.7499 6.0001 0.0000
-1.0617 -3.2383 5.2561
Se F
4 2
Cartesian
0.0000 0.0000 0.0000
-1.2373 2.3047 3.3186
1.3759 1.7291 0.6656
2.8688 0.4468 2.0903
-0.3133 0.9256 4.3235
2.8178 3.5183 2.1989
```

* polymorph energy (0 for the lowest one): 0 meV per atom
* energy relative to the elements, uncorrected: -0.66 eV per atom
* SG: No. 1
* calculated total energy: -3.605 eV per atom

Here is a relaxed RbPmMnI6 crystal from the Alexandria database. Energies are from PBE.

Cell and atoms, written as POSCAR:
```
RbPmMnI6
1.0
7.8319 0.0000 0.0000
-3.9159 6.7826 0.0000
0.0000 0.0000 16.4001
Rb Pm Mn I
2 2 2 12
Cartesian
0.0000 0.0000 0.0000
0.0000 0.0000 8.2000
0.0000 4.5217 4.1000
3.9159 2.2609 12.3000
0.0000 4.5217 12.3000
3.9159 2.2609 4.1000
-1.3506 2.5821 10.5631
-2.3551 4.3219 14.0370
1.3506 2.5821 14.0370
-1.0045 6.6613 10.5631
2.9114 0.1213 2.3631
1.5608 2.4607 5.8369
2.3551 4.3219 10.5631
1.0045 6.6613 14.0370
4.9204 0.1213 5.8369
2.5653 4.2005 2.3631
6.2711 2.4607 2.3631
5.2666 4.2005 5.8369
```

* energy relative to the elements, uncorrected: -1.10 eV per atom
* SG: No. 163
* calculated total energy: -3.786 eV per atom

Here is a relaxed ScPaTcNi crystal from the Alexandria database. Energies are from PBE.

Cell and atoms, written as POSCAR:
```
ScPaTcNi
1.0
3.9370 -2.2608 0.0000
3.9370 2.2608 0.0000
-2.6343 0.0000 4.1488
Sc Pa Tc Ni
1 1 1 1
Cartesian
0.0000 0.0000 0.0000
2.6145 0.0000 2.0255
5.2612 0.0000 1.3066
-0.0180 0.0000 2.8674
```

* SG: No. 8
* calculated total energy: -8.315 eV per atom
* ΔE_f: -7.4 kcal/mol of atoms

Here is a relaxed PrNi5H7 crystal from the Alexandria database. Energies are from PBE.

Cell and atoms, written as POSCAR:
```
PrNi5H7
1.0
0.0000 3.7321 3.7383
3.7300 0.0000 3.7383
3.7300 3.7321 0.0000
Pr Ni H
1 5 7
Cartesian
0.0000 0.0000 0.0000
2.7927 2.7928 2.7962
4.6673 4.6715 2.7962
4.6673 2.7928 4.6804
5.5950 5.5982 5.6074
2.7927 4.6715 4.6804
3.7300 3.7321 3.7383
5.5950 5.5982 3.8462
5.5950 3.8399 5.6074
7.3531 5.5982 5.6074
3.8370 5.5982 5.6074
5.5950 7.3565 5.6074
5.5950 5.5982 7.3686
```

* SG: No. 22
* calculated total energy: -4.649 eV per atom

Here is a relaxed Ca4AsPb2 crystal from the Alexandria database. Energies are from PBE.

Cell and atoms, written as POSCAR:
```
Ca4AsPb2
1.0
-2.7897 2.7897 7.8084
2.7897 -2.7897 7.8084
2.7897 2.7897 -7.8084
Ca As Pb
4 1 2
Cartesian
2.7897 0.0000 0.0000
0.0000 0.0000 2.8146
0.0000 2.7897 0.0000
0.0000 0.0000 12.8021
0.0000 0.0000 0.0000
0.0000 0.0000 5.9638
0.0000 0.0000 9.6530
```

* SG: No. 139
* calculated total energy: -3.410 eV per atom
* ΔE_f: -12.5 kcal/mol of atoms

Here is a relaxed HfScZn3 crystal from the Alexandria database. Energies are from PBE.

Cell and atoms, written as POSCAR:
```
HfScZn3
1.0
5.0042 0.0000 0.0000
0.0000 5.0042 0.0000
0.0000 0.0000 5.0042
Hf Sc Zn
1 1 3
Cartesian
0.0000 0.0000 0.0000
2.5021 2.5021 2.5021
0.0000 0.0000 2.5021
0.0000 2.5021 0.0000
2.5021 0.0000 0.0000
```

* polymorph energy (0 for the lowest one): 1071 meV per atom
* SG: No. 221
* calculated total energy: -3.230 eV per atom
* ΔE_f: 18.2 kcal/mol of atoms

Here is a relaxed Er4BiPb crystal from the Alexandria database. Energies are from PBE.

Cell and atoms, written as POSCAR:
```
Er4BiPb
1.0
4.3030 -6.7027 0.0000
4.3030 6.7027 0.0000
-1.9874 0.0000 6.1619
Er Bi Pb
8 2 2
Cartesian
1.6325 4.0593 5.8498
1.3987 1.3585 3.7098
3.9924 4.0593 3.3930
2.3925 -1.3585 0.6289
4.2262 1.3585 5.5330
2.6263 -4.0593 2.7689
5.2199 -1.3585 2.4521
4.9861 -4.0593 0.3121
3.8062 1.4143 1.5405
2.8125 -1.4143 4.6214
3.8062 6.6443 1.5405
2.8125 -6.6443 4.6214
```

* polymorph energy (0 for the lowest one): 0 meV per atom
* SG: No. 15
* calculated total energy: -4.685 eV per atom
* ΔE_f: -8.7 kcal/mol of atoms

Here is a relaxed Ce4Zn2Au5 crystal from the Alexandria database. Energies are from PBE.

Cell and atoms, written as POSCAR:
```
Ce4Zn2Au5
1.0
7.7959 0.0000 0.0000
0.0000 3.7123 0.0000
-0.5881 0.0000 8.9841
Ce Zn Au
4 2 5
Cartesian
1.5119 0.0000 3.2353
1.6466 0.0000 7.7820
5.5613 0.0000 1.2022
5.6959 0.0000 5.7488
3.0226 1.8562 5.5547
4.1852 1.8562 3.4295
0.0000 1.8562 0.0000
0.4041 1.8562 5.7264
2.9047 1.8562 1.1273
4.3032 1.8562 7.8569
6.8037 1.8562 3.2577
```

* SG: No. 10
* calculated total energy: -4.428 eV per atom
* ΔE_f: -12.7 kcal/mol of atoms

Here is a relaxed Ca3TlBi2 crystal from the Alexandria database. Energies are from PBE.

Cell and atoms, written as POSCAR:
```
Ca3TlBi2
1.0
-2.2353 2.4738 8.7702
2.2353 -2.4738 8.7702
2.2353 2.4738 -8.7702
Ca Tl Bi
3 1 2
Cartesian
0.0000 0.0000 0.0000
2.2353 0.0000 5.7474
0.0000 2.4738 3.0227
0.0000 0.0000 8.7702
2.2353 0.0000 2.4962
0.0000 2.4738 6.2739
```

* SG: No. 71
* calculated total energy: -3.415 eV per atom
* ΔE_f: -16.7 kcal/mol of atoms

Here is a relaxed MnTe3Pd2 crystal from the Alexandria database. Energies are from PBE.

Cell and atoms, written as POSCAR:
```
MnTe3Pd2
1.0
9.9868 -2.0123 0.0000
9.9868 2.0123 0.0000
-0.3429 0.0000 7.1317
Mn Te Pd
2 6 4
Cartesian
2.9246 0.0000 0.3996
16.7061 0.0000 6.7321
1.4677 0.0000 2.7358
4.7727 0.0000 5.7010
8.0507 0.0000 1.1717
11.5799 0.0000 5.9600
14.8579 0.0000 1.4307
18.1629 0.0000 4.3959
4.0797 0.0000 2.9716
8.8606 0.0000 5.9288
10.7700 0.0000 1.2028
15.5510 0.0000 4.1601
```

* energy relative to the elements, uncorrected: -0.23 eV per atom
* SG: No. 12
* calculated total energy: -5.062 eV per atom

Here is a relaxed Cs4LaSm3Se8 crystal from the Alexandria database. Energies are from PBE.

Cell and atoms, written as POSCAR:
```
Cs4LaSm3Se8
1.0
4.3885 2.5337 8.3974
-4.3885 2.5337 8.3974
0.0000 -5.0674 8.3974
Cs La Sm Se
4 1 3 8
Cartesian
0.0000 0.0000 0.0000
-2.1942 -1.2668 8.3974
-2.1942 1.2668 16.7947
0.0000 2.5337 8.3974
0.0000 0.0000 12.5960
-4.3885 0.0000 12.5960
-2.1942 1.2668 4.1987
2.1942 1.2668 4.1987
-2.2332 -1.2893 14.1877
0.0000 0.0000 5.7792
0.0000 -2.5786 11.0044
-2.2332 1.2893 11.0044
2.2332 -1.2893 14.1877
0.0000 2.5786 14.1877
0.0000 0.0000 19.4128
2.2332 1.2893 11.0044
```

* energy relative to the elements, uncorrected: -1.75 eV per atom
* SG: No. 166
* calculated total energy: -4.898 eV per atom

Here is a relaxed AsP2Pb crystal from the Alexandria database. Energies are from PBE.

Cell and atoms, written as POSCAR:
```
AsP2Pb
1.0
-2.8172 2.8172 6.8567
2.8172 -2.8172 6.8567
2.8172 2.8172 -6.8567
As P Pb
2 4 2
Cartesian
0.0000 0.0000 0.0000
0.0000 2.8172 3.4283
4.2258 1.0855 -1.7142
1.0855 1.4086 1.7142
-1.4086 1.7317 5.1425
1.7317 1.4086 8.5708
2.8172 0.0000 3.4283
0.0000 0.0000 6.8567
```

* polymorph energy (0 for the lowest one): 156 meV per atom
* SG: No. 122
* calculated total energy: -4.438 eV per atom
* ΔE_f: 8.2 kcal/mol of atoms

Here is a relaxed Dy2InH crystal from the Alexandria database. Energies are from PBE.

Cell and atoms, written as POSCAR:
```
Dy2InH
1.0
1.7966 1.0373 7.7772
-1.7966 1.0373 7.7772
0.0000 -2.0746 7.7772
Dy In H
2 1 1
Cartesian
0.0000 0.0000 5.2588
0.0000 0.0000 18.0728
0.0000 0.0000 0.0000
0.0000 0.0000 11.6658
```

* polymorph energy (0 for the lowest one): 43 meV per atom
* SG: No. 166
* calculated total energy: -4.156 eV per atom